Pm3Ga2Ge4: optimized geometry, PBE-GGA.

Its formation energy is -0.6183 eV/atom.

The space group is C2/m (No. 12) and the conventional cell measures 11.344, 4.190 and 9.068 Å, with angles of 90.00, 112.09 and 90.00 degrees. Symmetry generates all atoms from Pm at (0.000, 0.000, 0.000), Pm at (0.125, 0.500, 0.693), Ga at (0.177, 0.500, 0.324), Ge at (0.088, 0.000, 0.401) and Ge at (0.213, 0.500, 0.055).

---

V3ReAg: optimized geometry, PBE-GGA.

The calculation puts the energy above the most stable polymorph in this dataset at 0.0 meV/atom. Its formation energy is 1.1778 eV/atom.

The space group is Pm-3m (No. 221) and the conventional cell measures 4.587, 4.587 and 4.587 Å, with angles of 90.00, 90.00 and 90.00 degrees. Symmetry generates all atoms from V at (0.000, 0.000, 0.500), Re at (0.000, 0.000, 0.000) and Ag at (0.500, 0.500, 0.500).

---

ScMo2As2: optimized geometry, PBE-GGA.

The calculation puts the energy above the most stable polymorph in this dataset at 82.6 meV/atom. Its formation energy is -0.0776 eV/atom.

The space group is P4/mbm (No. 127) and the conventional cell measures 7.391, 7.391 and 3.110 Å, with angles of 90.00, 90.00 and 90.00 degrees. Symmetry generates all atoms from Sc at (0.000, 0.000, 0.000), Mo at (0.135, 0.365, 0.000) and As at (0.160, 0.660, 0.500).

---

YZn2Cu: optimized geometry, PBE-GGA.

Its formation energy is -0.1518 eV/atom.

The space group is Pm (No. 6) and the conventional cell measures 3.377, 4.437 and 5.179 Å, with angles of 90.00, 90.09 and 90.00 degrees. Symmetry generates all atoms from Y at (0.000, 0.000, 0.000), Zn at (0.499, 0.500, 0.730), Zn at (0.500, 0.000, 0.487) and Cu at (0.501, 0.500, 0.235).

---

RbMn2GaCl: optimized geometry, PBE-GGA.

Its total energy is -4.4639 eV/atom.

The space group is P4/mmm (No. 123) and the conventional cell measures 5.402, 5.402 and 7.231 Å, with angles of 90.00, 90.00 and 90.00 degrees. Symmetry generates all atoms from Rb at (0.000, 0.000, 0.000), Mn at (0.000, 0.500, 0.500), Ga at (0.500, 0.500, 0.500) and Cl at (0.500, 0.500, 0.000).

---

CaCdBr2: optimized geometry, PBE-GGA.

The calculation puts the energy above the most stable polymorph in this dataset at 0.1 meV/atom.

The space group is R-3m (No. 166, hexagonal axes) and the conventional cell measures 4.2312, 4.2312 and 31.3947 Å, with angles of 90.00, 90.00 and 120.00 degrees. Symmetry generates all atoms from Ca at (0.0000, 0.0000, 0.0000), Cd at (0.0000, 0.0000, 0.5000) and Br at (0.0000, 0.0000, 0.2827).

---

CsSrCa2: optimized geometry, PBE-GGA.

The calculation puts the energy above the most stable polymorph in this dataset at 266.6 meV/atom. Its formation energy is 0.4161 eV/atom.

The space group is I-42d (No. 122) and the conventional cell measures 10.702, 10.702 and 7.978 Å, with angles of 90.00, 90.00 and 90.00 degrees. Symmetry generates all atoms from Cs at (0.000, 0.000, 0.000), Sr at (0.000, 0.000, 0.500) and Ca at (0.246, 0.750, 0.625).

---

YAs2Pd7Pb2: optimized geometry, PBE-GGA.

Its formation energy is -0.4561 eV/atom.

The space group is C2/m (No. 12) and the conventional cell measures 5.771, 5.772 and 14.499 Å, with angles of 90.00, 96.47 and 90.00 degrees. Symmetry generates all atoms from Y at (0.000, 0.000, 0.000), As at (0.071, 0.500, 0.248), Pd at (0.000, 0.500, 0.000), Pd at (0.110, 0.500, 0.420), Pd at (0.206, 0.250, 0.852) and Pb at (0.112, 0.000, 0.392).